Entry 1:
A relaxed structure of Tb6NdDy3Er2. Source: Alexandria via LeMat-Bulk, functional GGA-PBE.

Calculated values
**Energy of formation**: 0.02 eV per atom
**Space-group type**: C2/m (12)
**Total energy**: -4.61 eV/atom
**Crystal system**: monoclinic

abc: 6.1555 6.1555 11.7917
angles: 94.97 94.97 119.95
Closest atoms and distances in Å follow each position.
Positions (direct):
Tb (0.9158, 0.5817, 0.7492)  3 Dy 3.54-3.55, 6 Tb 3.55-3.56, 2 Er 3.56, 1 Nd 3.57
Tb (0.7499, 0.7499, 0.2507)  3 Dy 3.55, 6 Tb 3.55-3.56, 1 Nd 3.56, 2 Er 3.56
Tb (0.0842, 0.4183, 0.2508)  3 Dy 3.54-3.55, 6 Tb 3.55-3.56, 2 Er 3.56, 1 Nd 3.57
Tb (0.5817, 0.9158, 0.7492)  3 Dy 3.54-3.55, 6 Tb 3.55-3.56, 2 Er 3.56, 1 Nd 3.57
Tb (0.2501, 0.2501, 0.7493)  3 Dy 3.55, 6 Tb 3.55-3.56, 1 Nd 3.56, 2 Er 3.56
Tb (0.4183, 0.0842, 0.2508)  3 Dy 3.54-3.55, 6 Tb 3.55-3.56, 2 Er 3.56, 1 Nd 3.57
Nd (0.0000, 0.0000, 0.0000)  6 Er 3.55-3.56, 6 Tb 3.56-3.57
Dy (0.1670, 0.8330, 0.5000)  6 Tb 3.54-3.55, 6 Dy 3.55-3.56
Dy (0.8330, 0.1670, 0.5000)  6 Tb 3.54-3.55, 6 Dy 3.55-3.56
Dy (0.5000, 0.5000, 0.5000)  6 Tb 3.55, 6 Dy 3.55-3.56
Er (0.3333, 0.6667, 0.0000)  3 Nd 3.55-3.56, 3 Er 3.55-3.56, 6 Tb 3.56
Er (0.6667, 0.3333, 0.0000)  3 Nd 3.55-3.56, 3 Er 3.55-3.56, 6 Tb 3.56


Entry 2:
A relaxed structure of Tb4Nd2DyEr2. Source: Alexandria via LeMat-Bulk, functional GGA-PBE.

Calculated values
**Energy of formation**: 0.08 eV per atom
**Space-group type**: P-1 (2)
**Total energy**: -4.56 eV/atom
**Crystal system**: triclinic

abc: 6.8262 9.8835 6.6347
angles: 121.20 126.94 59.27
Closest atoms and distances in Å follow each position.
Positions (direct):
Tb (0.7395, 0.8847, 0.2005)  4 Tb 3.34-3.74, 2 Nd 3.39-3.73, 2 Er 3.53-3.71, 1 Dy 3.57
Tb (0.6185, 0.7615, 0.5070)  1 Dy 3.33, 3 Er 3.43-3.53, 2 Tb 3.45, 3 Nd 3.48-3.72
Tb (0.2605, 0.1153, 0.7995)  4 Tb 3.34-3.74, 2 Nd 3.39-3.73, 2 Er 3.53-3.71, 1 Dy 3.57
Tb (0.3815, 0.2385, 0.4930)  1 Dy 3.33, 3 Er 3.43-3.53, 2 Tb 3.45, 3 Nd 3.48-3.72
Nd (0.2691, 0.6578, 0.6018)  5 Tb 3.39-3.73, 1 Dy 3.47, 4 Er 3.48-3.53, 1 Nd 3.49
Nd (0.7309, 0.3422, 0.3982)  5 Tb 3.39-3.73, 1 Dy 3.47, 4 Er 3.48-3.53, 1 Nd 3.49
Dy (0.0000, 0.0000, 0.0000)  4 Tb 3.33-3.57, 2 Nd 3.47
Er (0.8214, 0.4444, 0.0361)  5 Tb 3.43-3.71, 2 Er 3.47-3.71, 4 Nd 3.48-3.53, 1 Dy 3.82
Er (0.1786, 0.5556, 0.9639)  5 Tb 3.43-3.71, 2 Er 3.47-3.71, 4 Nd 3.48-3.53, 1 Dy 3.82


Entry 3:
A relaxed structure of Tb2Nd5DyEr. Source: Alexandria via LeMat-Bulk, functional GGA-PBE.

Calculated values
**Energy of formation**: 0.14 eV per atom
**Space-group type**: Cmc2_1 (36)
**Total energy**: -4.56 eV/atom
**Crystal system**: orthorhombic

abc: 5.6550 10.6076 10.7093
angles: 90.00 90.00 105.46
Closest atoms and distances in Å follow each position.
Positions (direct):
Tb (0.8852, 0.7705, 0.8103)  9 Nd 3.37-3.74, 1 Dy 3.64
Tb (0.1124, 0.2249, 0.7381)  1 Dy 3.41, 7 Nd 3.53-3.79, 2 Er 3.74
Tb (0.1148, 0.2295, 0.3103)  9 Nd 3.37-3.74, 1 Dy 3.64
Tb (0.8876, 0.7751, 0.2381)  1 Dy 3.41, 7 Nd 3.53-3.79, 2 Er 3.74
Nd (0.3849, 0.7697, 0.0215)  6 Nd 3.59-3.89, 4 Tb 3.62-3.66, 1 Dy 3.81
Nd (0.7206, 0.4412, 0.8122)  1 Er 3.08, 1 Tb 3.37, 2 Nd 3.42
Nd (0.4831, 0.9663, 0.7441)  2 Er 3.24-3.38, 2 Tb 3.54, 2 Nd 3.59-3.60
Nd (0.2971, 0.5941, 0.7065)  4 Nd 3.42-3.83, 1 Er 3.44, 3 Dy 3.52-3.83, 3 Tb 3.53-3.79
Nd (0.9843, 0.9686, 0.5172)  2 Er 3.29, 3 Tb 3.47-3.58
Nd (0.6151, 0.2303, 0.5215)  6 Nd 3.59-3.89, 4 Tb 3.62-3.66, 1 Dy 3.81
Nd (0.2794, 0.5588, 0.3122)  1 Er 3.08, 1 Tb 3.37, 2 Nd 3.42
Nd (0.5169, 0.0337, 0.2441)  2 Er 3.24-3.38, 2 Tb 3.54, 2 Nd 3.59-3.60
Nd (0.7029, 0.4059, 0.2065)  4 Nd 3.42-3.83, 1 Er 3.44, 3 Dy 3.52-3.83, 3 Tb 3.53-3.79
Nd (0.0157, 0.0314, 0.0172)  2 Er 3.29, 3 Tb 3.47-3.58
Dy (0.8013, 0.6027, 0.5104)  2 Tb 3.41-3.64, 7 Nd 3.52-3.81, 2 Er 3.60
Dy (0.1987, 0.3973, 0.0104)  2 Tb 3.41-3.64, 7 Nd 3.52-3.81, 2 Er 3.60
Er (0.5925, 0.1851, 0.9636)  6 Nd 3.08-3.44
Er (0.4075, 0.8149, 0.4636)  6 Nd 3.08-3.44


Entry 4:
A relaxed structure of TbNd6Dy2Er3. Source: Alexandria via LeMat-Bulk, functional GGA-PBE.

Calculated values
**Energy of formation**: 0.01 eV per atom
**Space-group type**: C2/m (12)
**Total energy**: -4.67 eV/atom
**Crystal system**: monoclinic

abc: 6.2604 6.2604 11.8271
angles: 95.04 95.04 119.99
Closest atoms and distances in Å follow each position.
Positions (direct):
Tb (0.0000, 0.0000, 0.0000)  6 Nd 3.59, 6 Dy 3.61-3.62
Nd (0.9160, 0.5826, 0.7489)  3 Er 3.57, 2 Dy 3.59, 1 Tb 3.59, 6 Nd 3.61-3.62
Nd (0.7506, 0.7506, 0.2513)  3 Er 3.57, 1 Tb 3.59, 2 Dy 3.59, 6 Nd 3.61-3.62
Nd (0.0840, 0.4174, 0.2511)  3 Er 3.57, 2 Dy 3.59, 1 Tb 3.59, 6 Nd 3.61-3.62
Nd (0.5826, 0.9160, 0.7489)  3 Er 3.57, 2 Dy 3.59, 1 Tb 3.59, 6 Nd 3.61-3.62
Nd (0.2494, 0.2494, 0.7487)  3 Er 3.57, 1 Tb 3.59, 2 Dy 3.59, 6 Nd 3.61-3.62
Nd (0.4174, 0.0840, 0.2511)  3 Er 3.57, 2 Dy 3.59, 1 Tb 3.59, 6 Nd 3.61-3.62
Dy (0.3334, 0.6666, 0.0000)  6 Nd 3.59, 3 Dy 3.61-3.62, 3 Tb 3.61-3.62
Dy (0.6666, 0.3334, 0.0000)  6 Nd 3.59, 3 Dy 3.61-3.62, 3 Tb 3.61-3.62
Er (0.1668, 0.8332, 0.5000)  6 Nd 3.57, 6 Er 3.61-3.62
Er (0.8332, 0.1668, 0.5000)  6 Nd 3.57, 6 Er 3.61-3.62
Er (0.5000, 0.5000, 0.5000)  6 Nd 3.57, 6 Er 3.61-3.62


Entry 5:
A relaxed structure of Tb2NdDy4Er2. Source: Alexandria via LeMat-Bulk, functional GGA-PBE.

Calculated values
**Energy of formation**: 0.00 eV per atom
**Space-group type**: C2/m (12)
**Total energy**: -4.62 eV/atom
**Crystal system**: monoclinic

abc: 3.5854 9.4726 9.5249
angles: 115.20 90.00 100.91
Closest atoms and distances in Å follow each position.
Positions (direct):
Tb (0.8518, 0.7036, 0.3330)  3 Er 3.51-3.53, 7 Dy 3.52-3.58, 2 Tb 3.59
Tb (0.1482, 0.2964, 0.6670)  3 Er 3.51-3.53, 7 Dy 3.52-3.58, 2 Tb 3.59
Nd (0.0000, 0.0000, 0.0000)  6 Dy 3.54, 2 Nd 3.59, 4 Er 3.60
Dy (0.8144, 0.6287, 0.6654)  6 Dy 3.51-3.59, 3 Tb 3.52-3.58, 2 Er 3.54, 1 Nd 3.54
Dy (0.1856, 0.3713, 0.3346)  6 Dy 3.51-3.59, 3 Tb 3.52-3.58, 2 Er 3.54, 1 Nd 3.54
Dy (0.5188, 0.0375, 0.3351)  5 Dy 3.50-3.59, 4 Tb 3.52-3.58, 2 Nd 3.54, 1 Er 3.56
Dy (0.4812, 0.9625, 0.6649)  5 Dy 3.50-3.59, 4 Tb 3.52-3.58, 2 Nd 3.54, 1 Er 3.56
Er (0.3320, 0.6640, 0.9990)  3 Tb 3.51-3.53, 3 Dy 3.54-3.56, 4 Er 3.55-3.59, 2 Nd 3.60
Er (0.6680, 0.3360, 0.0010)  3 Tb 3.51-3.53, 3 Dy 3.54-3.56, 4 Er 3.55-3.59, 2 Nd 3.60


Entry 6:
A relaxed structure of Tb2NdDyEr. Source: Alexandria via LeMat-Bulk, functional GGA-PBE.

Calculated values
**Energy of formation**: 0.39 eV per atom
**Space-group type**: Cmcm (63)
**Total energy**: -4.25 eV/atom
**Crystal system**: orthorhombic

abc: 7.1963 8.4041 7.1194
angles: 126.17 90.00 90.00
Closest atoms and distances in Å follow each position.
Positions (direct):
Tb (0.5000, 0.3096, 0.0000)  2 Dy 3.16, 1 Tb 3.20, 2 Er 3.54
Tb (0.0000, 0.6904, 0.0000)  2 Dy 3.16, 1 Tb 3.20, 2 Er 3.54
Tb (0.5000, 0.6904, 0.0000)  2 Dy 3.16, 1 Tb 3.20, 2 Er 3.54
Tb (0.0000, 0.3096, 0.0000)  2 Dy 3.16, 1 Tb 3.20, 2 Er 3.54
Nd (0.2500, 0.7265, 0.4530)  1 Dy 3.09
Nd (0.7500, 0.2735, 0.5470)  1 Dy 3.09
Dy (0.2500, 0.9955, 0.9911)  1 Nd 3.09, 4 Tb 3.16, 1 Er 3.21
Dy (0.7500, 0.0045, 0.0089)  1 Nd 3.09, 4 Tb 3.16, 1 Er 3.21
Er (0.7500, 0.7255, 0.4510)  1 Dy 3.21, 4 Tb 3.54
Er (0.2500, 0.2745, 0.5490)  1 Dy 3.21, 4 Tb 3.54


Entry 7:
A relaxed structure of Tb6Nd3Dy2Er. Source: Alexandria via LeMat-Bulk, functional GGA-PBE.

Calculated values
**Energy of formation**: 0.02 eV per atom
**Space-group type**: C2/m (12)
**Total energy**: -4.64 eV/atom
**Crystal system**: monoclinic

abc: 6.2086 6.2086 11.8664
angles: 94.99 94.99 119.98
Closest atoms and distances in Å follow each position.
Positions (direct):
Tb (0.9177, 0.5845, 0.7541)  2 Dy 3.54, 1 Er 3.54, 6 Tb 3.58-3.59, 3 Nd 3.62
Tb (0.7493, 0.7493, 0.2460)  1 Er 3.54, 2 Dy 3.54, 6 Tb 3.58-3.59, 3 Nd 3.62
Tb (0.0823, 0.4155, 0.2459)  2 Dy 3.54, 1 Er 3.54, 6 Tb 3.58-3.59, 3 Nd 3.62
Tb (0.5845, 0.9177, 0.7541)  2 Dy 3.54, 1 Er 3.54, 6 Tb 3.58-3.59, 3 Nd 3.62
Tb (0.2507, 0.2507, 0.7540)  1 Er 3.54, 2 Dy 3.54, 6 Tb 3.58-3.59, 3 Nd 3.62
Tb (0.4155, 0.0823, 0.2459)  2 Dy 3.54, 1 Er 3.54, 6 Tb 3.58-3.59, 3 Nd 3.62
Nd (0.1666, 0.8334, 0.5000)  6 Nd 3.58-3.59, 6 Tb 3.62
Nd (0.8334, 0.1666, 0.5000)  6 Nd 3.58-3.59, 6 Tb 3.62
Nd (0.5000, 0.5000, 0.5000)  6 Nd 3.58, 6 Tb 3.62
Dy (0.3334, 0.6666, 0.0000)  6 Tb 3.54, 3 Dy 3.58-3.59, 3 Er 3.58-3.59
Dy (0.6666, 0.3334, 0.0000)  6 Tb 3.54, 3 Dy 3.58-3.59, 3 Er 3.58-3.59
Er (0.0000, 0.0000, 0.0000)  6 Tb 3.54, 6 Dy 3.58-3.59


Entry 8:
A relaxed structure of Tb4NdDy2Er. Source: Alexandria via LeMat-Bulk, functional GGA-PBE.

Calculated values
**Energy of formation**: 0.43 eV per atom
**Space-group type**: C2/c (15)
**Total energy**: -4.20 eV/atom
**Crystal system**: monoclinic

abc: 9.4949 9.4949 11.7765
angles: 128.33 128.33 88.51
Closest atoms and distances in Å follow each position.
Positions (direct):
Tb (0.2504, 0.7526, 0.0015)  1 Er 3.30, 3 Dy 3.33-3.40, 2 Tb 3.38-3.42, 2 Nd 3.41
Tb (0.7474, 0.2497, 0.4985)  1 Er 3.30, 3 Dy 3.33-3.40, 2 Tb 3.38-3.42, 2 Nd 3.41
Tb (0.2526, 0.7503, 0.5015)  1 Er 3.30, 3 Dy 3.33-3.40, 2 Tb 3.38-3.42, 2 Nd 3.40-3.41
Tb (0.7497, 0.2474, 0.9985)  1 Er 3.30, 3 Dy 3.33-3.40, 2 Tb 3.38-3.42, 2 Nd 3.40-3.41
Tb (0.7467, 0.7499, 0.9974)  3 Dy 3.29-3.42, 1 Nd 3.33, 2 Er 3.39-3.40, 2 Tb 3.40
Tb (0.7501, 0.7533, 0.5026)  3 Dy 3.29-3.42, 1 Nd 3.33, 2 Er 3.39-3.40, 2 Tb 3.40
Tb (0.2499, 0.2467, 0.4974)  3 Dy 3.29-3.42, 1 Nd 3.33, 2 Er 3.39-3.40, 2 Tb 3.40
Tb (0.2533, 0.2501, 0.0026)  3 Dy 3.29-3.42, 1 Nd 3.33, 2 Er 3.39-3.40, 2 Tb 3.40
Nd (0.0000, 0.5000, 0.0000)  6 Tb 3.33-3.41, 2 Dy 3.40
Nd (0.0000, 0.5000, 0.5000)  6 Tb 3.33-3.41, 2 Dy 3.40
Dy (0.5000, 0.0000, 0.0000)  6 Tb 3.29-3.40, 2 Nd 3.40
Dy (0.5000, 0.0000, 0.5000)  6 Tb 3.29-3.40, 2 Nd 3.40
Dy (0.0000, 0.0000, 0.5000)  6 Tb 3.33-3.42, 2 Dy 3.40
Dy (0.5000, 0.5000, 0.0000)  6 Tb 3.33-3.42, 2 Dy 3.40
Er (0.5000, 0.5000, 0.5000)  6 Tb 3.30-3.40, 2 Er 3.40
Er (0.0000, 0.0000, 0.0000)  6 Tb 3.30-3.40, 2 Er 3.40


Entry 9:
A relaxed structure of Tb3Nd6DyEr2. Source: Alexandria via LeMat-Bulk, functional GGA-PBE.

Calculated values
**Energy of formation**: 0.01 eV per atom
**Space-group type**: C2/m (12)
**Total energy**: -4.67 eV/atom
**Crystal system**: monoclinic

abc: 6.2697 6.2697 11.8574
angles: 95.04 95.04 119.99
Closest atoms and distances in Å follow each position.
Positions (direct):
Tb (0.1667, 0.8333, 0.5000)  6 Nd 3.60, 6 Tb 3.62
Tb (0.8333, 0.1667, 0.5000)  6 Nd 3.60, 6 Tb 3.62
Tb (0.5000, 0.5000, 0.5000)  6 Nd 3.60, 6 Tb 3.62
Nd (0.9168, 0.5832, 0.7512)  2 Er 3.58, 1 Dy 3.58, 3 Tb 3.60, 6 Nd 3.62
Nd (0.7497, 0.7497, 0.2486)  1 Dy 3.57, 2 Er 3.58, 3 Tb 3.60, 6 Nd 3.62
Nd (0.0832, 0.4168, 0.2488)  2 Er 3.58, 1 Dy 3.58, 3 Tb 3.60, 6 Nd 3.62
Nd (0.5832, 0.9168, 0.7512)  2 Er 3.58, 1 Dy 3.58, 3 Tb 3.60, 6 Nd 3.62
Nd (0.2503, 0.2503, 0.7514)  1 Dy 3.57, 2 Er 3.58, 3 Tb 3.60, 6 Nd 3.62
Nd (0.4168, 0.0832, 0.2488)  2 Er 3.58, 1 Dy 3.58, 3 Tb 3.60, 6 Nd 3.62
Dy (0.0000, 0.0000, 0.0000)  6 Nd 3.57-3.58, 6 Er 3.62
Er (0.3333, 0.6667, 0.0000)  6 Nd 3.58, 3 Dy 3.62, 3 Er 3.62
Er (0.6667, 0.3333, 0.0000)  6 Nd 3.58, 3 Dy 3.62, 3 Er 3.62


Entry 10:
A relaxed structure of TbNd2DyEr. Source: Alexandria via LeMat-Bulk, functional GGA-PBE.

Calculated values
**Energy of formation**: 0.27 eV per atom
**Space-group type**: P2/c (13)
**Total energy**: -4.40 eV/atom
**Crystal system**: monoclinic

abc: 6.7036 8.1184 6.2220
angles: 90.05 90.00 90.00
Closest atoms and distances in Å follow each position.
Positions (direct):
Tb (0.0000, 0.0000, 0.0000)  2 Tb 3.11, 2 Dy 3.20
Tb (0.0000, 0.0000, 0.5000)  2 Tb 3.11, 2 Dy 3.20
Nd (0.6968, 0.6970, 0.7504)  1 Dy 3.09, 1 Nd 3.20
Nd (0.6968, 0.3030, 0.7496)  1 Dy 3.09, 1 Nd 3.20
Nd (0.3032, 0.6970, 0.2504)  1 Dy 3.09, 1 Nd 3.20
Nd (0.3032, 0.3030, 0.2496)  1 Dy 3.09, 1 Nd 3.20
Dy (0.5830, 0.0000, 0.2500)  2 Nd 3.09, 2 Tb 3.20, 2 Dy 3.30
Dy (0.4170, 0.0000, 0.7500)  2 Nd 3.09, 2 Tb 3.20, 2 Dy 3.30
Er (0.1627, 0.5000, 0.7500)  8 Nd 3.51-3.92, 2 Er 3.80
Er (0.8373, 0.5000, 0.2500)  8 Nd 3.51-3.92, 2 Er 3.80


Entry 11:
A relaxed structure of TbNdDy5Er2. Source: Alexandria via LeMat-Bulk, functional GGA-PBE.

Calculated values
**Energy of formation**: 0.16 eV per atom
**Space-group type**: Cmc2_1 (36)
**Total energy**: -4.45 eV/atom
**Crystal system**: orthorhombic

abc: 5.5997 10.3009 10.5315
angles: 90.00 90.00 105.77
Closest atoms and distances in Å follow each position.
Positions (direct):
Tb (0.8003, 0.6005, 0.5122)  2 Er 3.41-3.66, 8 Dy 3.48-3.75, 2 Nd 3.68
Tb (0.1997, 0.3995, 0.0122)  2 Er 3.41-3.66, 8 Dy 3.48-3.75, 2 Nd 3.68
Nd (0.5841, 0.1681, 0.9509)  5 Dy 3.05-3.26
Nd (0.4159, 0.8319, 0.4509)  5 Dy 3.05-3.26
Dy (0.3885, 0.7770, 0.0234)  6 Dy 3.47-3.79, 4 Er 3.53-3.58, 1 Tb 3.74
Dy (0.7189, 0.4379, 0.8121)  1 Nd 3.05, 1 Er 3.32, 2 Dy 3.39
Dy (0.4782, 0.9565, 0.7371)  2 Nd 3.08-3.26
Dy (0.2985, 0.5970, 0.7089)  4 Dy 3.39-3.76, 3 Tb 3.48-3.75, 3 Er 3.50-3.73, 1 Nd 3.58
Dy (0.9825, 0.9650, 0.5247)  2 Nd 3.19, 3 Er 3.38-3.57
Dy (0.6115, 0.2230, 0.5234)  6 Dy 3.47-3.79, 4 Er 3.53-3.58, 1 Tb 3.74
Dy (0.2811, 0.5621, 0.3121)  1 Nd 3.05, 1 Er 3.32, 2 Dy 3.39
Dy (0.5218, 0.0435, 0.2371)  2 Nd 3.08-3.26
Dy (0.7015, 0.4030, 0.2089)  4 Dy 3.39-3.76, 3 Tb 3.48-3.75, 3 Er 3.50-3.73, 1 Nd 3.58
Dy (0.0175, 0.0350, 0.0247)  2 Nd 3.19, 3 Er 3.38-3.57
Er (0.8862, 0.7725, 0.8193)  9 Dy 3.32-3.64, 1 Tb 3.66
Er (0.1109, 0.2219, 0.7352)  7 Dy 3.38-3.73, 1 Tb 3.41, 2 Nd 3.64
Er (0.1138, 0.2275, 0.3193)  9 Dy 3.32-3.64, 1 Tb 3.66
Er (0.8891, 0.7781, 0.2352)  7 Dy 3.38-3.73, 1 Tb 3.41, 2 Nd 3.64


Entry 12:
A relaxed structure of Tb2Nd2DyEr2. Source: Alexandria via LeMat-Bulk, functional GGA-PBE.

Calculated values
**Energy of formation**: 0.08 eV per atom
**Space-group type**: C2/m (12)
**Total energy**: -4.56 eV/atom
**Crystal system**: monoclinic

abc: 3.5214 6.1181 11.8509
angles: 71.39 90.00 106.73
Closest atoms and distances in Å follow each position.
Positions (direct):
Tb (0.4492, 0.8983, 0.7682)  3 Er 3.47-3.56, 2 Dy 3.51, 2 Tb 3.52, 4 Nd 3.54-3.61
Tb (0.5508, 0.1017, 0.2318)  3 Er 3.47-3.56, 2 Dy 3.51, 2 Tb 3.52, 4 Nd 3.54-3.61
Nd (0.6699, 0.3398, 0.9156)  5 Nd 3.52-3.81, 4 Tb 3.54-3.61, 2 Er 3.62
Nd (0.3301, 0.6602, 0.0844)  5 Nd 3.52-3.81, 4 Tb 3.54-3.61, 2 Er 3.62
Dy (0.0000, 0.0000, 0.5000)  4 Tb 3.51, 2 Dy 3.52, 6 Er 3.53-3.54
Er (0.7740, 0.5479, 0.3646)  3 Tb 3.47-3.56, 4 Er 3.52-3.54, 3 Dy 3.53-3.54, 2 Nd 3.62
Er (0.2260, 0.4521, 0.6354)  3 Tb 3.47-3.56, 4 Er 3.52-3.54, 3 Dy 3.53-3.54, 2 Nd 3.62